1.
Density functional theory data (PBE) for a relaxed structure of La2PmTmIn2.

Computed properties:
**E**: -53.4 eV for the cell shown

Structure (POSCAR):
```
La2PmTmIn2
1.0
5.202 0.000 0.000
0.000 6.932 0.000
0.000 0.000 10.263
In Pm Tm La
4 2 2 4
direct
0.500 0.223 0.383
0.000 0.296 0.850
0.500 0.723 0.617
0.000 0.796 0.150
0.000 0.458 0.542
0.000 0.958 0.458
0.500 0.676 0.310
0.500 0.176 0.690
0.000 0.315 0.179
0.000 0.815 0.821
0.500 0.578 0.942
0.500 0.078 0.058
```

2.
Density functional theory data (PBE) for a relaxed structure of Ti2Co2Ir.

Computed properties:
**ΔE to the lowest computed polymorph**: 0.225 eV per atom
**E**: -79.8 eV for the cell shown

Structure (POSCAR):
```
Ti2Co2Ir
1.0
6.882 0.000 0.000
0.000 6.882 0.000
0.000 0.000 2.872
Ti Ir Co
4 2 4
direct
0.342 0.842 0.000
0.158 0.342 0.000
0.658 0.158 0.000
0.842 0.658 0.000
0.000 0.000 0.000
0.500 0.500 0.000
0.141 0.641 0.500
0.859 0.359 0.500
0.641 0.859 0.500
0.359 0.141 0.500
```

3.
Density functional theory data (PBE) for a relaxed structure of Dy2HoPuAs4.

Computed properties:
**E**: -57.9 eV for the cell shown

Structure (POSCAR):
```
Dy2HoPuAs4
1.0
-0.941 -0.366 3.999
6.920 0.285 1.654
-2.705 6.589 -0.033
Dy Ho As Pu
2 1 4 1
direct
0.500 0.000 0.500
0.000 0.500 0.500
0.500 0.500 0.000
0.000 0.250 0.751
0.000 0.750 0.249
0.500 0.751 0.751
0.500 0.249 0.249
0.000 0.000 0.000
```

4.
Density functional theory data (PBE) for a relaxed structure of Sm3Er2In4.

Computed properties:
**E**: -72.6 eV for the cell shown

Structure (POSCAR):
```
Sm3Er2In4
1.0
-3.477 2.205 -5.781
3.617 -7.776 -5.141
-4.345 -5.294 4.951
Sm Er In
6 4 8
direct
0.024 0.750 0.549
0.476 0.250 0.451
0.524 0.750 0.549
0.000 0.000 0.000
0.976 0.250 0.451
0.500 0.500 0.000
0.896 0.467 0.791
0.396 0.033 0.791
0.104 0.533 0.209
0.604 0.967 0.209
0.257 0.250 0.013
0.757 0.250 0.013
0.803 0.015 0.606
0.697 0.515 0.394
0.743 0.750 0.987
0.303 0.485 0.606
0.197 0.985 0.394
0.243 0.750 0.987
```

5.
Density functional theory data (PBE) for a relaxed structure of AgPtW2.

Computed properties:
**ΔE to the lowest computed polymorph**: 0.310 eV per atom
**E**: -33.0 eV for the cell shown

Structure (POSCAR):
```
AgPtW2
1.0
-2.626 0.110 3.681
-2.639 -3.534 1.002
0.979 -2.618 3.556
W Ag Pt
2 1 1
direct
0.250 0.250 0.250
0.000 0.000 0.000
0.500 0.500 0.500
0.750 0.750 0.750
```

6.
Density functional theory data (PBE) for a relaxed structure of CuBrCl2.

Computed properties:
**E_form (uncorrected)**: 198 kJ/mol of formula units
**ΔE to the lowest computed polymorph**: 0.764 eV per atom
**E**: -7.4 eV for the cell shown

Structure (POSCAR):
```
CuBrCl2
1.0
4.876 0.000 0.000
2.438 4.223 0.000
2.438 1.408 3.981
Cl Cu Br
2 1 1
direct
0.000 0.000 0.000
0.750 0.750 0.750
0.250 0.250 0.250
0.500 0.500 0.500
```

7.
Density functional theory data (PBE) for a relaxed structure of IrSI.

Computed properties:
**E_form (uncorrected)**: -31 kJ/mol of formula units
**ΔE to the lowest computed polymorph**: 0.100 eV per atom
**E**: -29.7 eV for the cell shown

Structure (POSCAR):
```
IrSI
1.0
3.696 0.000 0.000
-1.848 6.609 -0.001
-0.085 -2.956 7.318
S I Ir
2 2 2
direct
0.145 0.120 0.914
0.164 0.140 0.296
0.410 0.649 0.954
0.934 0.676 0.407
0.631 0.084 0.090
0.299 0.415 0.186
```

8.
Density functional theory data (PBE) for a relaxed structure of Pr2DyUP4.

Computed properties:
**E**: -58.3 eV for the cell shown

Structure (POSCAR):
```
Pr2DyUP4
1.0
-2.932 -2.158 -1.812
4.881 -3.716 -3.472
-1.432 -3.218 6.150
U Pr Dy P
1 2 1 4
direct
0.500 0.500 0.000
0.000 0.500 0.500
0.500 0.000 0.500
0.000 0.000 0.000
0.000 0.739 0.231
0.500 0.251 0.232
0.500 0.749 0.768
0.000 0.261 0.769
```

9.
Density functional theory data (PBE) for a relaxed structure of Hg2PbI.

Computed properties:
**E_form (uncorrected)**: 12 kJ/mol of formula units
**ΔE to the lowest computed polymorph**: 0.091 eV per atom
**E**: -11.5 eV for the cell shown

Structure (POSCAR):
```
Hg2PbI
1.0
7.300 0.000 0.000
0.000 7.300 0.000
3.650 3.650 6.584
I Pb Hg
2 2 4
direct
0.250 0.750 0.500
0.500 0.500 0.000
0.000 0.000 0.000
0.750 0.250 0.500
0.875 0.905 0.750
0.655 0.125 0.250
0.375 0.345 0.750
0.095 0.625 0.250
```

10.
Density functional theory data (PBE) for a relaxed structure of MnCo2P.

Computed properties:
**E**: -29.4 eV for the cell shown

Structure (POSCAR):
```
MnCo2P
1.0
3.636 0.000 0.000
0.000 2.648 -0.009
0.000 1.353 4.675
Co P Mn
2 1 1
direct
0.000 0.883 0.982
0.000 0.617 0.518
0.500 0.750 0.750
0.500 0.250 0.250
```

11.
Density functional theory data (PBE) for a relaxed structure of Cd2WCl.

Computed properties:
**E_form (uncorrected)**: 105 kJ/mol of formula units
**ΔE to the lowest computed polymorph**: 0.135 eV per atom
**E**: -15.5 eV for the cell shown

Structure (POSCAR):
```
Cd2WCl
1.0
-2.874 0.836 -0.187
0.826 -2.825 -0.574
-1.463 -2.618 10.791
Cd Cl W
2 1 1
direct
0.500 0.500 0.225
0.000 0.000 0.968
0.000 0.000 0.566
0.500 0.500 0.741
```

12.
Density functional theory data (PBE) for a relaxed structure of Nd2SmHo2Er2.

Computed properties:
**E**: -31.9 eV for the cell shown

Structure (POSCAR):
```
Nd2SmHo2Er2
1.0
3.520 0.000 0.000
-1.760 5.627 1.645
0.000 0.566 11.826
Nd Er Sm Ho
2 2 1 2
direct
0.329 0.658 0.084
0.671 0.342 0.916
0.225 0.451 0.636
0.775 0.549 0.364
0.000 0.000 0.500
0.550 0.100 0.230
0.450 0.900 0.770
```